Pr4B3C5 | GGA-PBE | optimized geometry

Calculated values
density	6.04	Mg/m³
DFT formation energy	0.100	eV per atom
magnetization	0.0	μB/f.u.
raw total energy	-168.146	eV for the cell shown

The structure in CIF format:
```
data_Pr4B3C5
_chemical_formula_sum 'Pr8 B6 C10'
_cell_length_a 10.468
_cell_length_b 3.936
_cell_length_c 9.244
_cell_angle_alpha 90.00
_cell_angle_beta 108.77
_cell_angle_gamma 90.00
_space_group_name_H-M_alt 'C 1 2/m 1'
_space_group_IT_number 12
_space_group_name_Hall '-C 2y'
loop_
_atom_site_label
_atom_site_fract_x
_atom_site_fract_y
_atom_site_fract_z
Pr1 0.104 0.000 0.390
Pr2 0.244 0.500 0.158
B1 0.000 0.000 0.000
B2 0.042 0.500 0.862
C1 0.000 0.500 0.000
C2 0.083 0.500 0.728
C3 0.157 0.500 0.628
```